# Sr4Li2N, optimized geometry, DFT PBE
data_Sr4Li2N
_chemical_formula_sum 'Sr8 Li4 N2'
_cell_length_a 6.511
_cell_length_b 8.251
_cell_length_c 9.967
_cell_angle_alpha 90.00
_cell_angle_beta 103.59
_cell_angle_gamma 90.00
_space_group_name_H-M_alt 'P 1 21/m 1'
_space_group_IT_number 11
_space_group_name_Hall '-P 2yb'
loop_
_atom_site_label
_atom_site_type_symbol
_atom_site_fract_x
_atom_site_fract_y
_atom_site_fract_z
Sr1 Sr 0.102 0.250 0.032
Sr2 Sr 0.153 0.750 0.337
Sr3 Sr 0.313 0.503 0.726
Li1 Li 0.237 0.250 0.405
Li2 Li 0.482 0.750 0.060
N1 N 0.208 0.250 0.813
# Total magnetic moment (μB/f.u.): 0.0
# ΔE_f (raw) (eV/atom): -0.187
# Relative energy among the computed polymorphs (meV/atom): 0.0